[1]
A plane-wave DFT calculation with PBE was carried out for a relaxed CdOs2Br crystal.

Results
Distance to the lowest polymorph of the same formula, eV per formula unit: 2.95
Mass density, g/cm³: 13.7
Energy relative to the elements, uncorrected, eV per formula unit: 4.69

Cell lengths 2.867, 4.903, 4.947 Å; angles 90.00, 90.00, 90.00 degrees
Space group Pmmm (No. 47)
One atom of each set of equivalent atoms:
1 Cd 0.000 0.000 0.000 (multiplicity 1)
2 Os 0.000 0.500 0.500 (multiplicity 1)
3 Os 0.500 0.500 0.000 (multiplicity 1)
4 Br 0.500 0.000 0.500 (multiplicity 1)

[2]
A plane-wave DFT calculation with PBE was carried out for a relaxed Cs2PrSnO4 crystal.

Results
Mass density, g/cm³: 5.1
Energy relative to the elements, uncorrected, eV per formula unit: -15.01

Cell lengths 8.894, 8.602, 6.572 Å; angles 90.00, 130.58, 90.00 degrees
Space group C2 (No. 5)
One atom of each set of equivalent atoms:
1 Cs 0.000 0.000 0.000 (multiplicity 2)
2 Cs 0.000 0.253 0.500 (multiplicity 2)
3 Pr 0.000 0.483 0.000 (multiplicity 2)
4 Sn 0.000 0.751 0.500 (multiplicity 2)
5 O 0.119 0.605 0.390 (multiplicity 4)
6 O 0.235 0.314 0.099 (multiplicity 4)

[3]
A plane-wave DFT calculation with PBE was carried out for a relaxed CaTb6Tm8 crystal.

Results
Mass density, g/cm³: 8.3
DFT total energy, eV for the cell shown: -187.16

Cell lengths 9.5601, 9.5601, 17.7769 Å; angles 90.00, 90.00, 120.00 degrees
Space group R-3 (No. 148, hexagonal axes)
One atom of each set of equivalent atoms:
1 Ca 0.0000 0.0000 0.0000 (multiplicity 3)
2 Tb 0.0280 0.7932 0.4099 (multiplicity 18)
3 Tm 0.0000 0.0000 0.2399 (multiplicity 6)
4 Tm 0.0474 0.7699 0.9028 (multiplicity 18)

[4]
A plane-wave DFT calculation with PBE was carried out for a relaxed Ba2GaSn4Pd3 crystal.

Results
Mass density, g/cm³: 7.4
DFT total energy, eV for the cell shown: -44.97

Cell lengths 4.763, 4.763, 11.188 Å; angles 90.00, 90.00, 90.00 degrees
Space group P-4m2 (No. 115)
One atom of each set of equivalent atoms:
1 Ba 0.000 0.500 0.247 (multiplicity 2)
2 Ga 0.500 0.500 0.000 (multiplicity 1)
3 Sn 0.000 0.000 0.500 (multiplicity 1)
4 Sn 0.000 0.500 0.868 (multiplicity 2)
5 Sn 0.500 0.500 0.500 (multiplicity 1)
6 Pd 0.000 0.000 0.000 (multiplicity 1)
7 Pd 0.000 0.500 0.624 (multiplicity 2)

[5]
A plane-wave DFT calculation with PBE was carried out for a relaxed SrTiS2 crystal.

Results
Distance to the lowest polymorph of the same formula, eV per formula unit: 0.96
Mass density, g/cm³: 3.3
Energy relative to the elements, uncorrected, eV per formula unit: -4.35

Cell lengths 3.7029, 3.7029, 25.3800 Å; angles 90.00, 90.00, 120.00 degrees
Space group R-3m (No. 166, hexagonal axes)
One atom of each set of equivalent atoms:
1 Sr 0.0000 0.0000 0.0000 (multiplicity 3)
2 Ti 0.0000 0.0000 0.5000 (multiplicity 3)
3 S 0.0000 0.0000 0.1138 (multiplicity 6)

[6]
A plane-wave DFT calculation with PBE was carried out for a relaxed TlB3Mo crystal.

Results
Distance to the lowest polymorph of the same formula, eV per formula unit: 0.00
Mass density, g/cm³: 6.8

Cell lengths 4.322, 4.322, 4.322 Å; angles 90.00, 90.00, 90.00 degrees
Space group Pm-3m (No. 221)
One atom of each set of equivalent atoms:
1 Tl 0.000 0.000 0.000 (multiplicity 1)
2 B 0.000 0.500 0.500 (multiplicity 3)
3 Mo 0.500 0.500 0.500 (multiplicity 1)

[7]
A plane-wave DFT calculation with PBE was carried out for a relaxed Co2AgOs crystal.

Results
Distance to the lowest polymorph of the same formula, eV per formula unit: 1.41
Mass density, g/cm³: 12.3

Cell lengths 2.706, 4.656, 8.945 Å; angles 90.00, 90.00, 90.00 degrees
Space group Immm (No. 71)
One atom of each set of equivalent atoms:
1 Co 0.000 0.000 0.235 (multiplicity 4)
2 Ag 0.000 0.500 0.000 (multiplicity 2)
3 Os 0.000 0.500 0.500 (multiplicity 2)

[8]
A plane-wave DFT calculation with PBE was carried out for a relaxed LiY2Zn crystal.

Results
Mass density, g/cm³: 3.9
DFT total energy, eV for the cell shown: -48.14

Cell lengths 3.5220, 3.5220, 30.0212 Å; angles 90.00, 90.00, 120.00 degrees
Space group R-3m (No. 166, hexagonal axes)
One atom of each set of equivalent atoms:
1 Li 0.0000 0.0000 0.0000 (multiplicity 3)
2 Y 0.0000 0.0000 0.2408 (multiplicity 6)
3 Zn 0.0000 0.0000 0.5000 (multiplicity 3)

What is the mass density in the fourth record? 7.4 g/cm³

Number 2 is which compound? Cs2PrSnO4